Material: PmNdSiBr
Method: DFT, PBE
State: relaxed

a b c (Å): 4.199 4.199 7.997
angles (deg): 90.01 105.22 120.00
Fractional positions:
Pm 0.500 0.148 0.663
Si 0.304 0.550 0.869
Nd 0.108 0.952 0.075
Br 0.967 0.381 0.363

Output
symmetry	R3m (160)
formation energy (no corrections)	-1.04	eV/atom
calculated volume	116.4	Å³/cell
N(E_F)	0.64	states/eV per atom
total DFT energy (no corrections)	-5.1926	eV per atom